First-principles (GGA-PBE) data for CdAgSe after structural relaxation, as listed in Alexandria via LeMat-Bulk.

Lattice parameters (Å, degrees): 3.141 3.141 12.751 90.00 90.00 90.00
Space group I4mm (No. 107)
One atom of each set of equivalent atoms:
Cd 0.000 0.000 0.000 x2
Ag 0.000 0.000 0.343 x2
Se 0.000 0.000 0.679 x2

Values from the calculation:
The distance to the lowest polymorph of the same formula comes out at 0.259 eV per atom. The value obtained for the energy is -2.3085 eV/atom. The calculation puts the uncorrected formation energy at 0.109 eV/atom. The value obtained for the mass density is 7.90 Mg/m³.